[1]
A plane-wave DFT calculation with GGA-PBE was carried out for crystalline LaCeNdEr at its relaxed geometry.

The structure belongs to space group F-43m (No. 216); the cell edges are 8.164, 8.164 and 8.164 Å and the angles 90.00°, 90.00° and 90.00°. Symmetry generates all atoms from La at (0.000, 0.000, 0.000), Ce at (0.250, 0.250, 0.250), Nd at (0.000, 0.000, 0.500) and Er at (0.250, 0.250, 0.750).

Its formation energy from the elements is 19.0 kJ per mole of atoms.

***

[2]
A plane-wave DFT calculation with GGA-PBE was carried out for crystalline Re2WCl at its relaxed geometry.

The structure belongs to space group C2/m (No. 12); the cell edges are 10.086, 2.901 and 4.339 Å and the angles 90.00°, 91.88° and 90.00°. Symmetry generates all atoms from Re at (0.214, 0.000, 0.228), W at (0.000, 0.500, 0.000) and Cl at (0.000, 0.000, 0.500).

The excess energy over the best structure of this formula in the dataset comes out at 292 meV/atom. The uncorrected formation energy comes out at 0.74 eV per atom.

***

[3]
A plane-wave DFT calculation with GGA-PBE was carried out for crystalline Zr6Ga2Ni at its relaxed geometry.

The structure belongs to space group P-62m (No. 189); the cell edges are 7.8634, 7.8634 and 3.3883 Å and the angles 90.00°, 90.00° and 120.00°. Symmetry generates all atoms from Zr at (0.0000, 0.4043, 0.0000), Zr at (0.0000, 0.7455, 0.5000), Ga at (0.3333, 0.6667, 0.5000) and Ni at (0.0000, 0.0000, 0.0000).

Its formation energy from the elements is -39.6 kJ per mole of atoms.

***

[4]
A plane-wave DFT calculation with GGA-PBE was carried out for crystalline Pr8HC3Cl3 at its relaxed geometry.

The structure belongs to space group C2/m (No. 12); the cell edges are 13.252, 7.642 and 8.290 Å and the angles 90.00°, 122.25° and 90.00°. Symmetry generates all atoms from Pr at (0.019, 0.234, 0.293), Pr at (0.233, 0.000, 0.698), Pr at (0.246, 0.500, 0.707), H at (0.000, 0.500, 0.500), C at (0.000, 0.000, 0.500), C at (0.250, 0.250, 0.500), Cl at (0.000, 0.500, 0.000) and Cl at (0.250, 0.250, 0.000).

***

[5]
A plane-wave DFT calculation with GGA-PBE was carried out for crystalline Mg3HgPb12 at its relaxed geometry.

The structure belongs to space group P4/mmm (No. 123); the cell edges are 4.831, 4.831 and 20.176 Å and the angles 90.00°, 90.00° and 90.00°. Symmetry generates all atoms from Mg at (0.000, 0.000, 0.000), Mg at (0.000, 0.000, 0.250), Hg at (0.000, 0.000, 0.500), Pb at (0.000, 0.500, 0.124), Pb at (0.000, 0.500, 0.371), Pb at (0.500, 0.500, 0.000), Pb at (0.500, 0.500, 0.248) and Pb at (0.500, 0.500, 0.500).

Its formation energy from the elements is 0.1 kJ per mole of atoms.

***

[6]
A plane-wave DFT calculation with GGA-PBE was carried out for crystalline KCoSe at its relaxed geometry.

The structure belongs to space group I4mm (No. 107); the cell edges are 3.330, 3.330 and 11.682 Å and the angles 90.00°, 90.00° and 90.00°. Symmetry generates all atoms from K at (0.000, 0.000, 0.000), Co at (0.000, 0.000, 0.725) and Se at (0.000, 0.000, 0.280).

The excess energy over the best structure of this formula in the dataset comes out at 358 meV/atom. The uncorrected formation energy comes out at -0.07 eV per atom.

***

The records above give, respectively, total DFT energy (no corrections) values of -4.851; -9.179; -7.425; -5.762; -3.098; -3.961 eV per atom.